Arrangement i

Entry from Alexandria: an optimized crystal structure of CrRuBr2 (PBE).

## Properties
The symmetry is I-42d, No. 122.

Lattice parameters (Å, degrees): 5.583 5.583 6.737 65.52 65.52 90.00
Sites, in units of the cell vectors:
Ru 0.000 0.000 0.000
Ru 0.750 0.250 0.500
Br 0.608 0.125 0.250
Br 0.142 0.625 0.250
Br 0.375 0.392 0.750
Br 0.875 0.858 0.750
Cr 0.500 0.500 0.000
Cr 0.250 0.750 0.500

***

Arrangement ii

Entry from Alexandria: an optimized crystal structure of CrRuBr2 (PBE).

## Properties
The symmetry is Fm-3m, No. 225.

Lattice parameters (Å, degrees): 4.485 4.485 4.485 60.00 60.00 60.00
Sites, in units of the cell vectors:
Ru 0.500 0.500 0.500
Br 0.250 0.250 0.250
Br 0.750 0.750 0.750
Cr 0.000 0.000 0.000

***

Which of the structures shown above is the most stable? The most stable is arrangement i.